! K3Mn2CdF9 PBE+U relaxed; values from VASP
&SYSTEM
  ibrav = 0, nat = 15, ntyp = 4
/
ATOMIC_SPECIES
K 39.10 K.upf
Mn 54.94 Mn.upf
Cd 112.41 Cd.upf
F 19.00 F.upf
CELL_PARAMETERS angstrom
-1.500 -1.208 -5.802
2.631 -4.316 3.439
-6.773 -2.344 2.239
ATOMIC_POSITIONS angstrom
K -3.270 -4.846 1.854
K 0.000 0.000 0.000
K -2.373 -3.023 -1.978
Mn 0.171 -3.655 0.717
Mn -5.814 -4.213 -0.841
Cd -3.386 -1.172 1.120
F -5.361 -3.321 -2.710
F -4.082 -5.420 -1.037
F -4.632 -2.734 0.112
F -1.011 -5.134 -0.236
F -1.561 -2.448 0.913
F -0.281 -4.547 2.586
F -0.750 -0.604 -2.901
F 1.315 -2.158 1.720
F 0.565 -2.762 -1.182
! Total energy in eV/atom: -5.0621
! SG: P-3m1